No. 1
A crystal of Zr2MnBr relaxed with PBEsol, computed with SCAN.

Distance to the lowest polymorph of the same formula: 0.0 kJ per mole of atoms
E_form (uncorrected): -303 meV per atom
Total magnetization: 0.00 μB per cell
Theoretical density: 7.13 Mg/m³
DFT total energy: -25.081 eV/atom
Crystal system: orthorhombic
Density of states at the Fermi level: 0.507 states/eV/atom

The structure in extended XYZ format:
```
4
Lattice="-1.832 1.859 -1.701 -1.571 -2.510 -0.968 -4.761 0.705 5.898" Properties=species:S:1:pos:R:3 pbc="T T T"
Br -4.082 0.027 1.615
Mn -1.701 -0.325 -1.334
Zr -0.968 0.143 1.199
Zr -3.793 0.562 4.699
```


No. 2
A crystal of Zr2MnBr relaxed with PBEsol, computed with SCAN.

Distance to the lowest polymorph of the same formula: 36.6 kJ per mole of atoms
E_form (uncorrected): 77 meV per atom
Total magnetization: 0.00 μB per cell
Theoretical density: 6.57 Mg/m³
DFT total energy: -24.701 eV/atom
Crystal system: tetragonal
Density of states at the Fermi level: 0.603 states/eV/atom

The structure in extended XYZ format:
```
4
Lattice="-2.209 2.246 1.631 -1.864 0.344 -2.998 -3.694 -4.893 1.735" Properties=species:S:1:pos:R:3 pbc="T T T"
Br -1.736 -2.300 0.815
Mn -5.258 -2.974 0.830
Zr -2.944 0.092 -0.257
Zr -3.369 -4.463 1.582
```


No. 3
A crystal of Zr2MnBr relaxed with PBEsol, computed with SCAN.

Distance to the lowest polymorph of the same formula: 41.7 kJ per mole of atoms
E_form (uncorrected): 129 meV per atom
Total magnetization: 2.58 μB per cell
Theoretical density: 7.23 Mg/m³
DFT total energy: -24.649 eV/atom
Crystal system: tetragonal
Density of states at the Fermi level: 0.994 states/eV/atom

The structure in extended XYZ format:
```
4
Lattice="4.383 0.000 0.000 -2.191 4.380 0.027 0.000 2.170 3.808" Properties=species:S:1:pos:R:3 pbc="T T T"
Br 2.191 1.085 1.904
Zr 0.000 2.732 0.965
Mn 0.000 0.000 0.000
Zr 2.191 3.817 2.870
```


No. 4
A crystal of ZrMnBr2 relaxed with PBEsol, computed with SCAN.

Distance to the lowest polymorph of the same formula: 0.0 kJ per mole of atoms
E_form (uncorrected): -829 meV per atom
Total magnetization: 3.17 μB per cell
Theoretical density: 5.57 Mg/m³
DFT total energy: -22.797 eV/atom
Crystal system: trigonal
Density of states at the Fermi level: 0.205 states/eV/atom

The structure in extended XYZ format:
```
4
Lattice="3.448 0.000 0.000 1.724 2.986 0.000 1.724 0.995 8.864" Properties=species:S:1:pos:R:3 pbc="T T T"
Zr 1.724 0.995 2.353
Br 5.171 2.986 6.049
Br 5.171 2.986 0.483
Mn 3.448 1.990 4.411
```


No. 5
A crystal of ZrMnBr2 relaxed with PBEsol, computed with SCAN.

Distance to the lowest polymorph of the same formula: 9.9 kJ per mole of atoms
E_form (uncorrected): -727 meV per atom
Total magnetization: 4.27 μB per cell
Theoretical density: 5.89 Mg/m³
DFT total energy: -22.695 eV/atom
Crystal system: tetragonal
Density of states at the Fermi level: 0.305 states/eV/atom

The structure in extended XYZ format:
```
4
Lattice="-2.340 -2.308 0.598 1.103 -0.305 3.139 -4.887 5.540 2.256" Properties=species:S:1:pos:R:3 pbc="T T T"
Mn -2.431 2.756 1.122
Br -4.633 5.253 2.139
Br -2.278 0.575 2.634
Zr -4.112 2.654 3.481
```


No. 6
A crystal of MoBr2 relaxed with PBEsol, computed with SCAN.

Distance to the lowest polymorph of the same formula: 0.0 kJ per mole of atoms
E_form (uncorrected): -742 meV per atom
Total magnetization: 0.00 μB per cell
Theoretical density: 4.85 Mg/m³
DFT total energy: -25.344 eV/atom
Crystal system: orthorhombic
Density of states at the Fermi level: 0.000 states/eV/atom

The structure in extended XYZ format:
```
36
Lattice="-2.904 7.326 5.491 -3.332 -7.822 4.470 9.961 -0.699 6.201" Properties=species:S:1:pos:R:3 pbc="T T T"
Br -0.756 -6.112 5.152
Mo 1.810 -2.452 7.956
Br -0.617 -1.974 2.397
Br 4.155 -6.593 10.234
Br 4.480 4.917 11.010
Mo 0.987 -0.133 1.555
Br 0.301 1.403 6.188
Mo 8.401 -0.722 7.190
Br 4.239 -2.861 13.520
Mo -2.957 5.472 5.366
Mo 2.068 -0.480 6.250
Br 2.567 -0.319 3.662
Br 4.342 0.779 13.765
Br 3.833 -2.365 6.345
Br -3.208 -3.427 4.766
Mo -3.280 -5.967 4.595
Br 0.198 -2.235 5.942
Br 6.289 -0.769 8.773
Mo 1.915 1.257 8.206
Br 3.935 1.274 6.590
Mo 0.028 -0.532 7.880
Mo 1.656 -0.715 9.912
Br 3.424 -2.597 9.974
Br -0.211 -2.469 9.572
Br -0.108 1.171 9.817
Br -0.515 1.666 2.643
Br 1.738 -4.992 7.785
Br 3.526 1.040 10.220
Mo -4.677 -0.473 8.973
Mo 3.697 -0.663 8.282
Br 1.158 -0.875 12.500
Br -3.028 2.931 5.195
Mo 2.737 -1.062 14.607
Br -0.431 5.398 5.928
Br -2.564 -0.426 7.390
Br 1.986 3.797 8.377
```


No. 7
A crystal of MoBr2 relaxed with PBEsol, computed with SCAN.

Distance to the lowest polymorph of the same formula: 49.3 kJ per mole of atoms
E_form (uncorrected): -232 meV per atom
Total magnetization: 0.00 μB per cell
Theoretical density: 5.04 Mg/m³
DFT total energy: -24.833 eV/atom
Crystal system: orthorhombic
Density of states at the Fermi level: 0.247 states/eV/atom

The structure in extended XYZ format:
```
6
Lattice="-2.003 -0.967 2.301 -5.084 -1.394 -5.011 5.045 -6.058 1.846" Properties=species:S:1:pos:R:3 pbc="T T T"
Mo -2.390 -0.760 -1.287
Mo -4.698 -1.602 -1.423
Br -3.649 -3.032 -3.338
Br 1.607 -5.387 2.473
Br -2.142 -2.828 0.286
Br 0.100 -5.591 -1.150
```


No. 8
A crystal of MoBrN3 relaxed with PBEsol, computed with SCAN.

E_form (uncorrected): 2557 meV per atom
Total magnetization: 2.03 μB per cell
Theoretical density: 6.55 Mg/m³
DFT total energy: -13.887 eV/atom
Crystal system: cubic
Density of states at the Fermi level: 0.334 states/eV/atom

The structure in extended XYZ format:
```
5
Lattice="-1.765 3.163 -1.175 -3.282 -1.301 1.427 0.784 1.674 3.329" Properties=species:S:1:pos:R:3 pbc="T T T"
N -0.882 1.582 -0.587
Mo -2.131 1.768 1.791
N -1.641 -0.651 0.713
N 0.392 0.837 1.665
Br 0.000 0.000 0.000
```


No. 9
A crystal of MoSBrN2 relaxed with PBEsol, computed with SCAN.

E_form (uncorrected): 2275 meV per atom
Total magnetization: 2.35 μB per cell
Theoretical density: 5.74 Mg/m³
DFT total energy: -14.236 eV/atom
Crystal system: tetragonal
Density of states at the Fermi level: 0.495 states/eV/atom

The structure in extended XYZ format:
```
5
Lattice="-3.570 -0.086 -1.289 0.668 -3.365 -1.625 -1.380 -2.190 3.967" Properties=species:S:1:pos:R:3 pbc="T T T"
N 0.334 -1.683 -0.813
N -1.785 -0.043 -0.645
Br 0.000 0.000 0.000
S -0.690 -1.095 1.983
Mo -2.141 -2.820 0.526
```


No. 10
A crystal of MoSeBr2N relaxed with PBEsol, computed with SCAN.

E_form (uncorrected): 813 meV per atom
Total magnetization: 1.19 μB per cell
Theoretical density: 4.68 Mg/m³
DFT total energy: -19.822 eV/atom
Crystal system: tetragonal
Density of states at the Fermi level: 0.255 states/eV/atom

The structure in extended XYZ format:
```
5
Lattice="-2.448 -3.776 1.574 -1.602 -0.939 -4.743 4.067 -2.965 -0.787" Properties=species:S:1:pos:R:3 pbc="T T T"
Br -0.801 -0.470 -2.372
Mo 0.000 0.000 0.000
N 0.008 -3.840 -1.978
Se -1.224 -1.888 0.787
Br 2.033 -1.482 -0.393
```


No. 11
A crystal of Si2MoBrN relaxed with PBEsol, computed with SCAN.

E_form (uncorrected): 528 meV per atom
Total magnetization: 0.00 μB per cell
Theoretical density: 4.42 Mg/m³
DFT total energy: -16.206 eV/atom
Crystal system: tetragonal
Density of states at the Fermi level: 0.458 states/eV/atom

The structure in extended XYZ format:
```
5
Lattice="-2.006 2.325 -2.346 -2.186 -3.893 -1.990 -3.561 0.294 3.336" Properties=species:S:1:pos:R:3 pbc="T T T"
Mo 0.000 0.000 0.000
Si -1.780 0.147 1.668
Si -1.093 -1.947 -0.995
N -1.003 1.163 -1.173
Br -3.876 -0.637 -0.500
```


No. 12
A crystal of NaMo3Br relaxed with PBEsol, computed with SCAN.

E_form (uncorrected): 3055 meV per atom
Total magnetization: 3.35 μB per cell
Theoretical density: 6.64 Mg/m³
DFT total energy: -22.611 eV/atom
Crystal system: cubic
Density of states at the Fermi level: 1.244 states/eV/atom

The structure in extended XYZ format:
```
5
Lattice="-4.485 -0.350 0.990 0.357 -4.592 -0.008 0.987 0.069 4.498" Properties=species:S:1:pos:R:3 pbc="T T T"
Na 0.000 0.000 0.000
Mo 0.178 -2.296 -0.004
Mo -2.242 -0.175 0.495
Br -1.570 -2.437 2.740
Mo 0.494 0.034 2.249
```